The following is a PBE calculation of an optimized crystal structure of ZrTiSi2, from Alexandria via LeMat-Bulk.

Lattice parameters (Å, degrees): 7.0483 7.0483 5.6803 90.00 90.00 90.00
Space group I-42d (No. 122)
Symmetry-distinct sites (fractional):
Zr  0.0000  0.0000  0.0000 x4
Ti  0.0000  0.0000  0.5000 x4
Si  0.2352  0.2500  0.6250 x8

E = -7.1744 eV/atom